[1]
Here is an optimized crystal structure of Zn2OsRh from Alexandria via LeMat-Bulk. Energies are from PBE.

abc: 5.1981 5.1981 5.1981
angles: 147.92 130.17 60.50
Positions (direct):
Zn: 0.7498 0.2498 0.5000
Zn: 0.0014 0.0014 0.0000
Rh: 0.2514 0.7514 0.5000
Os: 0.4974 0.4974 0.0000

VASP energy	-20.8	eV per cell
calculated formation energy	0.092	eV per atom
V	56.49	Å³/cell
total magnetic moment	0.000	μB per atom

=====

[2]
Here is an optimized crystal structure of ReHg2 from Alexandria via LeMat-Bulk. Energies are from PBE.

abc: 2.6813 7.4909 7.4737
angles: 90.00 90.00 90.00
Positions (direct):
Hg: 0.0000 0.2619 0.2633
Hg: 0.0000 0.7381 0.7367
Re: 0.0000 0.0000 0.0000
Hg: 0.5000 0.2381 0.7633
Re: 0.5000 0.5000 0.5000
Hg: 0.5000 0.7619 0.2367

VASP energy	-20.5	eV per cell
calculated formation energy	0.926	eV per atom
V	150.11	Å³/cell
total magnetic moment	0.158	μB per atom

=====

[3]
Here is an optimized crystal structure of TaMoSe from Alexandria via LeMat-Bulk. Energies are from PBE.

abc: 4.3434 4.3434 4.3434
angles: 60.00 60.00 60.00
Positions (direct):
Ta: 0.5000 0.5000 0.5000
Mo: 0.7500 0.7500 0.7500
Se: 0.0000 0.0000 0.0000

VASP energy	-24.8	eV per cell
V	57.94	Å³/cell
total magnetic moment	0.000	μB per atom
energy relative to the elements, uncorrected	133	kJ/mol of formula units

=====

[4]
Here is an optimized crystal structure of SbHF3 from Alexandria via LeMat-Bulk. Energies are from PBE.

abc: 4.2916 6.9444 6.5225
angles: 112.50 90.00 108.00
Positions (direct):
F: 0.4193 0.8387 0.5880
F: 0.1868 0.3736 0.2316
F: 0.0218 0.0435 0.7921
F: 0.9782 0.9565 0.2079
Sb: 0.4383 0.8766 0.1478
H: 0.1353 0.2706 0.3004
F: 0.8132 0.6264 0.7684
F: 0.5807 0.1613 0.4120
H: 0.8647 0.7294 0.6996
Sb: 0.5617 0.1234 0.8522

VASP energy	-43.7	eV per cell
V	169.24	Å³/cell
total magnetic moment	0.000	μB per atom

=====

What is the V in the third record?
57.94 Å³/cell

=====

What is the formula in the third record?
TaMoSe

=====

Among the records above, which one has the highest VASP energy?
ReHg2

=====

Which value of total magnetic moment does entry 4 give?
0.000 μB per atom